# 1
First-principles (GGA-PBE) data for a relaxed structure of KAcCu2P2, as listed in Alexandria via LeMat-Bulk.

Computed properties:
- Final energy: -28.2 eV/cell
- Spin magnetization: 0.00 μB per formula unit
- ΔE_f: -3.999 eV/f.u.

Geometry as CIF:
```
data_KAcCu2P2
_cell_length_a 4.156
_cell_length_b 4.156
_cell_length_c 9.169
_cell_angle_alpha 90.00
_cell_angle_beta 90.00
_cell_angle_gamma 120.00
_space_group_name_H-M_alt 'P 1'
_space_group_IT_number 1
_space_group_name_Hall 'P 1'
loop_
_atom_site_label
_atom_site_type_symbol
_atom_site_fract_x
_atom_site_fract_y
_atom_site_fract_z
_atom_site_occupancy
K1 K 0.000 0.000 0.000 1
Ac1 Ac 0.000 0.000 0.500 1
Cu1 Cu 0.333 0.667 0.266 1
Cu2 Cu 0.667 0.333 0.734 1
P1 P 0.333 0.667 0.723 1
P2 P 0.667 0.333 0.277 1
```



# 2
First-principles (GGA-PBE) data for a relaxed structure of KAcCuS2, as listed in Alexandria via LeMat-Bulk.

Computed properties:
- Formation energy (no corrections): -1.082 eV/atom
- Final energy: -45.9 eV/cell
- Spin magnetization: 0.00 μB per formula unit

Geometry as CIF:
```
data_KAcCuS2
_cell_length_a 7.591
_cell_length_b 4.740
_cell_length_c 8.798
_cell_angle_alpha 90.00
_cell_angle_beta 102.95
_cell_angle_gamma 90.00
_space_group_name_H-M_alt 'P 1'
_space_group_IT_number 1
_space_group_name_Hall 'P 1'
loop_
_atom_site_label
_atom_site_type_symbol
_atom_site_fract_x
_atom_site_fract_y
_atom_site_fract_z
_atom_site_occupancy
K1 K 0.000 0.166 0.250 1
K2 K 0.000 0.834 0.750 1
Ac1 Ac 0.500 0.485 0.750 1
Ac2 Ac 0.500 0.515 0.250 1
Cu1 Cu 0.500 0.000 0.000 1
Cu2 Cu 0.500 0.000 0.500 1
S1 S 0.265 0.294 0.959 1
S2 S 0.265 0.706 0.459 1
S3 S 0.735 0.294 0.541 1
S4 S 0.735 0.706 0.041 1
```



# 3
First-principles (GGA-PBE) data for a relaxed structure of AcLa2Cu6, as listed in Alexandria via LeMat-Bulk.

Computed properties:
- Final energy: -39.1 eV/cell
- Spin magnetization: 0.00 μB per formula unit
- ΔE_f: -0.578 eV/f.u.

Geometry as CIF:
```
data_AcLa2Cu6
_cell_length_a 8.066
_cell_length_b 8.066
_cell_length_c 8.066
_cell_angle_alpha 151.45
_cell_angle_beta 125.75
_cell_angle_gamma 62.45
_space_group_name_H-M_alt 'P 1'
_space_group_IT_number 1
_space_group_name_Hall 'P 1'
loop_
_atom_site_label
_atom_site_type_symbol
_atom_site_fract_x
_atom_site_fract_y
_atom_site_fract_z
_atom_site_occupancy
Ac1 Ac 0.000 0.000 0.000 1
La1 La 0.355 0.855 0.500 1
La2 La 0.645 0.145 0.500 1
Cu1 Cu 0.012 0.335 0.677 1
Cu2 Cu 0.329 0.500 0.829 1
Cu3 Cu 0.343 0.665 0.677 1
Cu4 Cu 0.657 0.335 0.323 1
Cu5 Cu 0.671 0.500 0.171 1
Cu6 Cu 0.988 0.665 0.323 1
```



# 4
First-principles (GGA-PBE) data for a relaxed structure of Ac2La3Cu4, as listed in Alexandria via LeMat-Bulk.

Computed properties:
- Final energy: -80.7 eV/cell
- Spin magnetization: 0.00 μB per formula unit
- ΔE_f: -0.967 eV/f.u.

Geometry as CIF:
```
data_Ac2La3Cu4
_cell_length_a 8.582
_cell_length_b 7.420
_cell_length_c 8.147
_cell_angle_alpha 90.00
_cell_angle_beta 106.42
_cell_angle_gamma 90.00
_space_group_name_H-M_alt 'P 1'
_space_group_IT_number 1
_space_group_name_Hall 'P 1'
loop_
_atom_site_label
_atom_site_type_symbol
_atom_site_fract_x
_atom_site_fract_y
_atom_site_fract_z
_atom_site_occupancy
Ac1 Ac 0.189 0.165 0.091 1
Ac2 Ac 0.189 0.335 0.591 1
Ac3 Ac 0.811 0.665 0.409 1
Ac4 Ac 0.811 0.835 0.909 1
La1 La 0.231 0.660 0.249 1
La2 La 0.231 0.840 0.749 1
La3 La 0.500 0.000 0.500 1
La4 La 0.500 0.500 0.000 1
La5 La 0.769 0.160 0.251 1
La6 La 0.769 0.340 0.751 1
Cu1 Cu 0.081 0.537 0.888 1
Cu2 Cu 0.081 0.963 0.388 1
Cu3 Cu 0.498 0.613 0.620 1
Cu4 Cu 0.498 0.887 0.120 1
Cu5 Cu 0.502 0.113 0.880 1
Cu6 Cu 0.502 0.387 0.380 1
Cu7 Cu 0.919 0.037 0.612 1
Cu8 Cu 0.919 0.463 0.112 1
```



# 5
First-principles (GGA-PBE) data for a relaxed structure of Ac2LaCu9, as listed in Alexandria via LeMat-Bulk.

Computed properties:
- Final energy: -50.9 eV/cell
- Spin magnetization: 0.00 μB per formula unit
- ΔE_f: -0.863 eV/f.u.

Geometry as CIF:
```
data_Ac2LaCu9
_cell_length_a 9.236
_cell_length_b 9.236
_cell_length_c 9.236
_cell_angle_alpha 33.84
_cell_angle_beta 33.84
_cell_angle_gamma 33.84
_space_group_name_H-M_alt 'P 1'
_space_group_IT_number 1
_space_group_name_Hall 'P 1'
loop_
_atom_site_label
_atom_site_type_symbol
_atom_site_fract_x
_atom_site_fract_y
_atom_site_fract_z
_atom_site_occupancy
Ac1 Ac 0.139 0.139 0.139 1
Ac2 Ac 0.861 0.861 0.861 1
La1 La 0.000 0.000 0.000 1
Cu1 Cu 0.085 0.574 0.574 1
Cu2 Cu 0.331 0.331 0.331 1
Cu3 Cu 0.426 0.426 0.915 1
Cu4 Cu 0.426 0.915 0.426 1
Cu5 Cu 0.500 0.500 0.500 1
Cu6 Cu 0.574 0.085 0.574 1
Cu7 Cu 0.574 0.574 0.085 1
Cu8 Cu 0.669 0.669 0.669 1
Cu9 Cu 0.915 0.426 0.426 1
```



# 6
First-principles (GGA-PBE) data for a relaxed structure of Ac2LaCu6, as listed in Alexandria via LeMat-Bulk.

Computed properties:
- Final energy: -39.6 eV/cell
- Spin magnetization: 0.00 μB per formula unit
- ΔE_f: -1.869 eV/f.u.

Geometry as CIF:
```
data_Ac2LaCu6
_cell_length_a 7.581
_cell_length_b 7.581
_cell_length_c 4.010
_cell_angle_alpha 90.00
_cell_angle_beta 90.00
_cell_angle_gamma 120.00
_space_group_name_H-M_alt 'P 1'
_space_group_IT_number 1
_space_group_name_Hall 'P 1'
loop_
_atom_site_label
_atom_site_type_symbol
_atom_site_fract_x
_atom_site_fract_y
_atom_site_fract_z
_atom_site_occupancy
Ac1 Ac 0.333 0.667 0.000 1
Ac2 Ac 0.667 0.333 0.000 1
La1 La 0.000 0.000 0.000 1
Cu1 Cu 0.000 0.331 0.500 1
Cu2 Cu 0.000 0.669 0.500 1
Cu3 Cu 0.331 0.000 0.500 1
Cu4 Cu 0.331 0.331 0.500 1
Cu5 Cu 0.669 0.000 0.500 1
Cu6 Cu 0.669 0.669 0.500 1
```



# 7
First-principles (GGA-PBE) data for a relaxed structure of Ac2La3Cu2, as listed in Alexandria via LeMat-Bulk.

Computed properties:
- Final energy: -31.7 eV/cell
- Spin magnetization: 0.00 μB per formula unit
- ΔE_f: -0.546 eV/f.u.

Geometry as CIF:
```
data_Ac2La3Cu2
_cell_length_a 6.712
_cell_length_b 6.712
_cell_length_c 9.698
_cell_angle_alpha 113.41
_cell_angle_beta 113.41
_cell_angle_gamma 34.45
_space_group_name_H-M_alt 'P 1'
_space_group_IT_number 1
_space_group_name_Hall 'P 1'
loop_
_atom_site_label
_atom_site_type_symbol
_atom_site_fract_x
_atom_site_fract_y
_atom_site_fract_z
_atom_site_occupancy
Ac1 Ac 0.161 0.161 0.307 1
Ac2 Ac 0.839 0.839 0.693 1
La1 La 0.383 0.383 0.060 1
La2 La 0.500 0.500 0.500 1
La3 La 0.617 0.617 0.940 1
Cu1 Cu 0.154 0.154 0.728 1
Cu2 Cu 0.846 0.846 0.272 1
```



# 8
First-principles (GGA-PBE) data for a relaxed structure of AcLaCu4, as listed in Alexandria via LeMat-Bulk.

Computed properties:
- Final energy: -26.7 eV/cell
- Energy above the most stable polymorph in this dataset: 0.0000 eV/atom
- Spin magnetization: 0.00 μB per formula unit
- ΔE_f: -1.244 eV/f.u.

Geometry as CIF:
```
data_AcLaCu4
_cell_length_a 5.887
_cell_length_b 5.887
_cell_length_c 4.374
_cell_angle_alpha 111.63
_cell_angle_beta 111.63
_cell_angle_gamma 80.01
_space_group_name_H-M_alt 'P 1'
_space_group_IT_number 1
_space_group_name_Hall 'P 1'
loop_
_atom_site_label
_atom_site_type_symbol
_atom_site_fract_x
_atom_site_fract_y
_atom_site_fract_z
_atom_site_occupancy
Ac1 Ac 0.000 0.000 0.000 1
La1 La 0.500 0.500 0.500 1
Cu1 Cu 0.088 0.421 0.754 1
Cu2 Cu 0.421 0.088 0.754 1
Cu3 Cu 0.579 0.912 0.246 1
Cu4 Cu 0.912 0.579 0.246 1
```



# 9
First-principles (GGA-PBE) data for a relaxed structure of AcLa4Cu2, as listed in Alexandria via LeMat-Bulk.

Computed properties:
- Final energy: -64.3 eV/cell
- Spin magnetization: 0.00 μB per formula unit
- ΔE_f: -0.123 eV/f.u.

Geometry as CIF:
```
data_AcLa4Cu2
_cell_length_a 7.698
_cell_length_b 6.936
_cell_length_c 8.632
_cell_angle_alpha 90.00
_cell_angle_beta 109.86
_cell_angle_gamma 90.00
_space_group_name_H-M_alt 'P 1'
_space_group_IT_number 1
_space_group_name_Hall 'P 1'
loop_
_atom_site_label
_atom_site_type_symbol
_atom_site_fract_x
_atom_site_fract_y
_atom_site_fract_z
_atom_site_occupancy
Ac1 Ac 0.136 0.250 0.026 1
Ac2 Ac 0.864 0.750 0.974 1
La1 La 0.022 0.250 0.400 1
La2 La 0.247 0.750 0.349 1
La3 La 0.394 0.009 0.763 1
La4 La 0.394 0.491 0.763 1
La5 La 0.606 0.509 0.237 1
La6 La 0.606 0.991 0.237 1
La7 La 0.753 0.250 0.651 1
La8 La 0.978 0.750 0.600 1
Cu1 Cu 0.275 0.750 0.998 1
Cu2 Cu 0.389 0.250 0.405 1
Cu3 Cu 0.611 0.750 0.595 1
Cu4 Cu 0.725 0.250 0.002 1
```



# 10
First-principles (GGA-PBE) data for a relaxed structure of AcLa4Cu, as listed in Alexandria via LeMat-Bulk.

Computed properties:
- Final energy: -28.1 eV/cell
- Spin magnetization: 0.00 μB per formula unit
- ΔE_f: -0.175 eV/f.u.

Geometry as CIF:
```
data_AcLa4Cu
_cell_length_a 3.764
_cell_length_b 3.764
_cell_length_c 14.345
_cell_angle_alpha 90.00
_cell_angle_beta 90.00
_cell_angle_gamma 90.00
_space_group_name_H-M_alt 'P 1'
_space_group_IT_number 1
_space_group_name_Hall 'P 1'
loop_
_atom_site_label
_atom_site_type_symbol
_atom_site_fract_x
_atom_site_fract_y
_atom_site_fract_z
_atom_site_occupancy
Ac1 Ac 0.000 0.000 0.000 1
La1 La 0.000 0.000 0.380 1
La2 La 0.000 0.000 0.620 1
La3 La 0.500 0.500 0.193 1
La4 La 0.500 0.500 0.807 1
Cu1 Cu 0.500 0.500 0.500 1
```



# 11
First-principles (GGA-PBE) data for a relaxed structure of AcLa2Cu2, as listed in Alexandria via LeMat-Bulk.

Computed properties:
- Final energy: -45.2 eV/cell
- Spin magnetization: 0.00 μB per formula unit
- ΔE_f: -0.440 eV/f.u.

Geometry as CIF:
```
data_AcLa2Cu2
_cell_length_a 5.194
_cell_length_b 4.871
_cell_length_c 11.592
_cell_angle_alpha 90.00
_cell_angle_beta 96.62
_cell_angle_gamma 90.00
_space_group_name_H-M_alt 'P 1'
_space_group_IT_number 1
_space_group_name_Hall 'P 1'
loop_
_atom_site_label
_atom_site_type_symbol
_atom_site_fract_x
_atom_site_fract_y
_atom_site_fract_z
_atom_site_occupancy
Ac1 Ac 0.193 0.250 0.242 1
Ac2 Ac 0.807 0.750 0.758 1
La1 La 0.250 0.750 0.494 1
La2 La 0.342 0.250 0.884 1
La3 La 0.658 0.750 0.116 1
La4 La 0.750 0.250 0.506 1
Cu1 Cu 0.121 0.750 0.006 1
Cu2 Cu 0.281 0.250 0.639 1
Cu3 Cu 0.719 0.750 0.361 1
Cu4 Cu 0.879 0.250 0.994 1
```